# Ba3Zn2Ga3, relaxed, DFT GGA-PBE
# Calculated formation energy   -0.285 eV/atom
# ΔE to the lowest computed polymorph   0.031 eV per atom
# Uncorrected energy   -0.18078 Ry per atom
# Theoretical density   5.1 g/cm3
data_Ba3Zn2Ga3
_cell_length_a 4.293
_cell_length_b 6.051
_cell_length_c 9.742
_cell_angle_alpha 97.40
_cell_angle_beta 102.71
_cell_angle_gamma 90.09
_space_group_name_H-M_alt 'P -1'
_space_group_IT_number 2
loop_
_space_group_symop_operation_xyz
'x,y,z'
'-x,-y,-z'
loop_
_atom_site_label
_atom_site_fract_x
_atom_site_fract_y
_atom_site_fract_z
Ba1 0.000 0.000 0.000
Ba2 0.147 0.553 0.294
Zn1 0.228 0.088 0.455
Ga1 0.352 0.933 0.705
Ga2 0.500 0.500 0.000

# LaTbPr2Sm, relaxed, DFT GGA-PBE
# Calculated formation energy   0.257 eV/atom
# Uncorrected energy   -0.33151 Ry per atom
# Theoretical density   6.7 g/cm3
data_LaTbPr2Sm
_cell_length_a 8.544
_cell_length_b 6.669
_cell_length_c 6.366
_cell_angle_alpha 90.00
_cell_angle_beta 95.02
_cell_angle_gamma 90.00
_space_group_name_H-M_alt 'P 1 2/c 1'
_space_group_IT_number 13
loop_
_space_group_symop_operation_xyz
'x,y,z'
'-x,-y,-z'
'-x,y,-z+1/2'
'x,-y,z+1/2'
loop_
_atom_site_label
_atom_site_fract_x
_atom_site_fract_y
_atom_site_fract_z
La1 0.000 0.000 0.000
Tb1 0.500 0.164 0.250
Pr1 0.310 0.310 0.720
Sm1 0.000 0.433 0.250

# Ca3La2NpN6, relaxed, DFT GGA-PBE
# E_form (uncorrected)   -14.64 eV/f.u.
# Uncorrected energy   -0.57199 Ry per atom
# Theoretical density   6.1 g/cm3
data_Ca3La2NpN6
_cell_length_a 6.266
_cell_length_b 10.902
_cell_length_c 6.103
_cell_angle_alpha 90.00
_cell_angle_beta 110.05
_cell_angle_gamma 90.00
_space_group_name_H-M_alt 'C 1 2/m 1'
_space_group_IT_number 12
loop_
_space_group_symop_operation_xyz
'x,y,z'
'-x,-y,-z'
'-x,y,-z'
'x,-y,z'
'x+1/2,y+1/2,z'
'-x+1/2,-y+1/2,-z'
'-x+1/2,y+1/2,-z'
'x+1/2,-y+1/2,z'
loop_
_atom_site_label
_atom_site_fract_x
_atom_site_fract_y
_atom_site_fract_z
Ca1 0.000 0.000 0.000
Ca2 0.000 0.343 0.000
La1 0.000 0.168 0.500
Np1 0.000 0.500 0.500
N1 0.219 0.354 0.723
N2 0.221 0.500 0.285

# Zr2SiAs, relaxed, DFT GGA-PBE
# ΔE to the lowest computed polymorph   0.231 eV per atom
# E_form (uncorrected)   -2.73 eV/f.u.
# Uncorrected energy   -0.54940 Ry per atom
# Theoretical density   6.2 g/cm3
data_Zr2SiAs
_cell_length_a 3.990
_cell_length_b 5.151
_cell_length_c 7.442
_cell_angle_alpha 90.00
_cell_angle_beta 90.00
_cell_angle_gamma 90.00
_space_group_name_H-M_alt 'C m m m'
_space_group_IT_number 65
_space_group_name_Hall '-C 2 2'
loop_
_atom_site_label
_atom_site_fract_x
_atom_site_fract_y
_atom_site_fract_z
Zr1 0.000 0.000 0.247
Si1 0.000 0.500 0.000
As1 0.000 0.500 0.500